La2Al3Ag2 | PBE | relaxed

Output
Formation energy from the elements ... -0.370 eV/atom
E ... -29.4 eV per cell

Cell: 4.6205 5.9654 6.9007 Å, 112.07 90.00 112.79°
Last column: nearest neighbours and their distance in Å.
Element x y z (fractional)
La  0.1551  0.3101  0.7802  5 Ag 3.20-3.55, 8 Al 3.23-3.57
La  0.8449  0.6899  0.2198  5 Ag 3.20-3.55, 8 Al 3.23-3.57
Ag  0.8547  0.7094  0.7398  5 Al 2.73-2.96
Ag  0.1453  0.2906  0.2602  5 Al 2.73-2.96
Al  0.4055  0.8110  0.5751  2 Al 2.67-2.68, 3 Ag 2.73-2.80
Al  0.5945  0.1890  0.4249  2 Al 2.67-2.68, 3 Ag 2.73-2.80
Al  0.5000  0.0000  0.0000  2 Al 2.68, 4 Ag 2.96